(1)
Material: TcHPt
Method: DFT, PBE
State: optimized geometry

Results
Total magnetization in μB/cell: 0.0
E_tot in eV/atom: -6.2219

a = 4.638 Å, b = 9.901 Å, c = 6.488 Å
α = 82.22°, β = 69.06°, γ = 76.45°
Atoms (fractional coordinates):
H 0.825 0.888 0.095
H 0.302 0.803 0.062
H 0.985 0.890 0.438
H 0.192 0.388 0.595
H 0.832 0.303 0.562
H 0.688 0.390 0.938
Tc 0.391 0.909 0.282
Tc 0.218 0.127 0.402
Tc 0.253 0.627 0.902
Tc 0.974 0.244 0.808
Tc 0.974 0.744 0.308
Tc 0.418 0.409 0.782
Pt 0.664 0.676 0.041
Pt 0.414 0.164 0.989
Pt 0.432 0.664 0.489
Pt 0.901 0.049 0.133
Pt 0.917 0.549 0.633
Pt 0.619 0.176 0.541


(2)
Material: Tc4HPt2
Method: DFT, PBE
State: optimized geometry

Results
Total magnetization in μB/cell: 0.0
E_tot in eV/atom: -7.9758

a = 3.909 Å, b = 3.909 Å, c = 6.931 Å
α = 73.62°, β = 73.62°, γ = 90.00°
Atoms (fractional coordinates):
H 0.000 0.000 0.000
Tc 0.846 0.846 0.307
Tc 0.154 0.154 0.693
Tc 0.000 0.500 0.000
Tc 0.500 0.000 0.000
Pt 0.648 0.648 0.705
Pt 0.352 0.352 0.295


(3)
Material: Tc2H2Pt
Method: DFT, PBE
State: optimized geometry

Results
Total magnetization in μB/cell: 1.4
E_tot in eV/atom: -6.5644

a = 3.467 Å, b = 3.467 Å, c = 4.869 Å
α = 69.14°, β = 69.14°, γ = 90.00°
Each line ends with the local moment (μB).
Atoms (fractional coordinates):
H 0.750 0.250 0.500  -0.01
H 0.250 0.750 0.500  -0.01
Tc 0.343 0.343 0.314  0.63
Tc 0.657 0.657 0.686  0.63
Pt 0.000 0.000 0.000  0.08


(4)
Material: TcH2Pt2
Method: DFT, PBE
State: optimized geometry

Results
Total magnetization in μB/cell: 0.0
E_tot in eV/atom: -5.5494

a = 6.379 Å, b = 6.379 Å, c = 2.734 Å
α = 90.00°, β = 90.00°, γ = 90.00°
Atoms (fractional coordinates):
H 0.285 0.785 0.000
H 0.785 0.715 0.000
H 0.715 0.215 0.000
H 0.215 0.285 0.000
Tc 0.000 0.000 0.000
Tc 0.500 0.500 0.000
Pt 0.158 0.658 0.500
Pt 0.658 0.842 0.500
Pt 0.842 0.342 0.500
Pt 0.342 0.158 0.500


(5)
Material: TcHPt
Method: DFT, PBE
State: optimized geometry

Results
Total magnetization in μB/cell: 0.0
E_tot in eV/atom: -6.4884

a = 5.587 Å, b = 2.777 Å, c = 9.127 Å
α = 90.00°, β = 90.00°, γ = 90.00°
Atoms (fractional coordinates):
H 0.110 0.250 0.733
H 0.390 0.750 0.233
H 0.890 0.750 0.267
H 0.610 0.250 0.767
Tc 0.872 0.250 0.411
Tc 0.628 0.750 0.911
Tc 0.128 0.750 0.589
Tc 0.372 0.250 0.089
Pt 0.369 0.250 0.389
Pt 0.131 0.750 0.889
Pt 0.631 0.750 0.611
Pt 0.869 0.250 0.111


(6)
Material: TcH2Pt2
Method: DFT, PBE
State: optimized geometry

Results
Total magnetization in μB/cell: 0.0
E_tot in eV/atom: -5.7035

a = 2.824 Å, b = 2.824 Å, c = 6.881 Å
α = 78.16°, β = 78.16°, γ = 90.00°
Atoms (fractional coordinates):
H 0.750 0.250 0.500
H 0.250 0.750 0.500
Tc 0.000 0.000 0.000
Pt 0.353 0.353 0.293
Pt 0.647 0.647 0.707